Here is a crystal of Ba2TcMo2 relaxed with PBEsol from Alexandria. Energies are from meta-GGA SCAN.

```
Ba2TcMo2
1.0
-1.874 -1.232 2.666
1.156 -3.217 -0.673
8.741 3.848 5.645
Tc Mo Ba
1 2 2
Cartesian
0.000 0.000 0.000
3.254 0.196 4.654
4.769 -0.796 2.985
1.315 -1.900 2.323
6.708 1.300 5.315
```

Output
* energy relative to the elements: 1.19 eV per atom
* spin magnetization: 1.97 Bohr magnetons per cell
* Fermi-level density of states: 5.19 states/eV per cell

=====

Here is a crystal of KIr2Pb relaxed with PBEsol from Alexandria. Energies are from meta-GGA SCAN.

```
KIr2Pb
1.0
3.049 0.000 0.000
1.525 2.641 0.000
1.525 0.880 9.796
Ir Pb K
2 1 1
Cartesian
4.574 2.641 7.623
1.525 0.880 2.173
0.000 0.000 0.000
3.049 1.760 4.898
```

Output
* energy relative to the elements: 0.96 eV per atom
* spin magnetization: 0.00 Bohr magnetons per cell
* Fermi-level density of states: 4.08 states/eV per cell

=====

Here is a crystal of SnMo2As2 relaxed with PBEsol from Alexandria. Energies are from meta-GGA SCAN.

```
SnMo2As2
1.0
-0.494 1.266 3.428
-3.162 -1.882 0.239
5.480 -5.492 0.835
As Mo Sn
2 2 1
Cartesian
2.743 -4.356 2.004
-0.919 -1.751 2.497
1.579 -2.267 3.048
0.245 -3.840 1.454
0.000 0.000 0.000
```

Output
* energy relative to the elements: 0.20 eV per atom
* spin magnetization: 0.00 Bohr magnetons per cell
* Fermi-level density of states: 2.83 states/eV per cell

=====

Here is a crystal of PrCd2 relaxed with PBEsol from Alexandria. Energies are from meta-GGA SCAN.

```
PrCd2
1.0
-1.652 0.165 -2.924
-2.137 -4.447 0.957
-2.240 4.239 1.504
Cd Pr
2 1
Cartesian
-2.205 1.344 1.322
-2.171 -1.551 1.139
-0.826 0.082 -1.462
```

Output
* energy relative to the elements: -0.44 eV per atom
* spin magnetization: 0.17 Bohr magnetons per cell
* Fermi-level density of states: 1.97 states/eV per cell

=====

Here is a crystal of LaScAs2 relaxed with PBEsol from Alexandria. Energies are from meta-GGA SCAN.

```
LaScAs2
1.0
4.089 0.000 0.000
2.045 3.541 0.000
2.045 1.180 6.615
La Sc As
1 1 2
Cartesian
4.089 2.361 3.307
0.000 0.000 0.000
6.134 3.541 5.154
2.045 1.180 1.461
```

Output
* energy relative to the elements: -1.61 eV per atom
* spin magnetization: 0.00 Bohr magnetons per cell
* Fermi-level density of states: 0.41 states/eV per cell

=====

Here is a crystal of CeSb2Pd2 relaxed with PBEsol from Alexandria. Energies are from meta-GGA SCAN.

```
CeSb2Pd2
1.0
-2.220 -1.001 -3.920
-3.605 -1.542 2.435
-4.078 9.392 -0.088
Sb Ce Pd
4 2 4
Cartesian
-5.360 7.423 1.141
-1.630 0.697 -1.971
-4.951 3.425 -0.786
-2.039 4.696 -0.044
-4.199 6.613 -2.027
-2.792 1.507 1.196
0.000 0.000 0.000
-2.643 3.030 -1.993
-2.912 -1.271 -0.743
-4.347 5.091 1.163
```

Output
* spin magnetization: 2.13 Bohr magnetons per cell
* Fermi-level density of states: 12.89 states/eV per cell
* formation energy (no corrections): -893 meV/atom